[1]
## Co4TcBr (PBE)

Data for a relaxed Co4TcBr crystal.

The structure belongs to space group F-43m (No. 216); the cell edges are 6.889, 6.889 and 6.889 Å and the angles 90.00°, 90.00° and 90.00°. The distinct sites, in fractional coordinates, are Co at (0.124, 0.124, 0.124), Tc at (0.250, 0.250, 0.750) and Br at (0.000, 0.000, 0.500).

***

[2]
## CoTc4Br (PBE)

Data for a relaxed CoTc4Br crystal.

The structure belongs to space group F-43m (No. 216); the cell edges are 7.297, 7.297 and 7.297 Å and the angles 90.00°, 90.00° and 90.00°. The distinct sites, in fractional coordinates, are Co at (0.000, 0.000, 0.000), Tc at (0.125, 0.125, 0.625) and Br at (0.250, 0.250, 0.250).

***

[3]
## Zn2CoTcBr (PBE)

Data for a relaxed Zn2CoTcBr crystal.

The structure belongs to space group P4/mmm (No. 123); the cell edges are 4.675, 4.675 and 4.415 Å and the angles 90.00°, 90.00° and 90.00°. The distinct sites, in fractional coordinates, are Zn at (0.000, 0.500, 0.000), Co at (0.000, 0.000, 0.000), Tc at (0.000, 0.000, 0.500) and Br at (0.500, 0.500, 0.500).

***

[4]
## CoTeBr2 (PBE)

Data for a relaxed CoTeBr2 crystal.

The structure belongs to space group Cmmm (No. 65); the cell edges are 3.321, 6.411 and 10.983 Å and the angles 90.00°, 90.00° and 90.00°. The distinct sites, in fractional coordinates, are Co at (0.000, 0.000, 0.000), Te at (0.000, 0.000, 0.500) and Br at (0.000, 0.500, 0.149).

***

[5]
## CoTe2Br (PBE)

Data for a relaxed CoTe2Br crystal.

The structure belongs to space group P4/mmm (No. 123); the cell edges are 5.333, 5.333 and 3.204 Å and the angles 90.00°, 90.00° and 90.00°. The distinct sites, in fractional coordinates, are Co at (0.000, 0.000, 0.000), Te at (0.000, 0.500, 0.500) and Br at (0.500, 0.500, 0.000).

***

[6]
## CoTe2Br (PBE)

Data for a relaxed CoTe2Br crystal.

The structure belongs to space group Pnma (No. 62); the cell edges are 9.508, 3.653 and 13.748 Å and the angles 90.00°, 90.00° and 90.00°. The distinct sites, in fractional coordinates, are Co at (0.017, 0.250, 0.074), Te at (0.126, 0.750, 0.173), Te at (0.169, 0.250, 0.930) and Br at (0.101, 0.250, 0.626).

***

[7]
## CoTe2Br (PBE)

Data for a relaxed CoTe2Br crystal.

The structure belongs to space group P1 (No. 1); the cell edges are 5.362, 6.289 and 7.473 Å and the angles 89.45°, 68.98° and 89.98°. The distinct sites, in fractional coordinates, are Co at (0.000, 0.000, 0.000), Co at (0.445, 0.498, 0.186), Te at (0.198, 0.153, 0.220), Te at (0.247, 0.655, 0.965), Te at (0.589, 0.859, 0.255), Te at (0.856, 0.363, 0.931), Br at (0.571, 0.400, 0.452) and Br at (0.874, 0.908, 0.735).

***

[8]
## Co2TeBr (PBE)

Data for a relaxed Co2TeBr crystal.

The structure belongs to space group I-4m2 (No. 119); the cell edges are 3.625, 3.625 and 13.359 Å and the angles 90.00°, 90.00° and 90.00°. The distinct sites, in fractional coordinates, are Co at (0.000, 0.000, 0.000), Co at (0.000, 0.500, 0.250), Te at (0.000, 0.500, 0.750) and Br at (0.000, 0.000, 0.500).

***

[9]
## CoTeBr2 (PBE)

Data for a relaxed CoTeBr2 crystal.

The structure belongs to space group Pm (No. 6); the cell edges are 5.335, 3.620 and 5.550 Å and the angles 90.00°, 106.10° and 90.00°. The distinct sites, in fractional coordinates, are Co at (0.000, 0.000, 0.000), Te at (0.185, 0.500, 0.290), Br at (0.547, 0.000, 0.042) and Br at (0.886, 0.500, 0.678).

***

[10]
## CoTe2Br (PBE)

Data for a relaxed CoTe2Br crystal.

The structure belongs to space group Cm (No. 8); the cell edges are 12.411, 3.375 and 5.996 Å and the angles 90.00°, 108.46° and 90.00°. The distinct sites, in fractional coordinates, are Co at (0.000, 0.000, 0.000), Te at (0.340, 0.000, 0.967), Te at (0.472, 0.000, 0.662) and Br at (0.128, 0.500, 0.248).

***

[11]
## CoTe4Br (PBE)

Data for a relaxed CoTe4Br crystal.

The structure belongs to space group F-43m (No. 216); the cell edges are 8.912, 8.912 and 8.912 Å and the angles 90.00°, 90.00° and 90.00°. The distinct sites, in fractional coordinates, are Co at (0.000, 0.000, 0.000), Te at (0.125, 0.125, 0.625) and Br at (0.250, 0.250, 0.250).

***

[12]
## CoTeBr2 (PBE)

Data for a relaxed CoTeBr2 crystal.

The structure belongs to space group P4mm (No. 99); the cell edges are 3.678, 3.678 and 8.510 Å and the angles 90.00°, 90.00° and 90.00°. The distinct sites, in fractional coordinates, are Co at (0.000, 0.000, 0.000), Te at (0.500, 0.500, 0.937), Br at (0.000, 0.000, 0.269) and Br at (0.500, 0.500, 0.636).

***

[13]
## CoTe2Br (PBE)

Data for a relaxed CoTe2Br crystal.

The structure belongs to space group R3m (No. 160, hexagonal axes); the cell edges are 3.4947, 3.4947 and 29.4559 Å and the angles 90.00°, 90.00° and 120.00°. The distinct sites, in fractional coordinates, are Co at (0.0000, 0.0000, 0.0000), Te at (0.0000, 0.0000, 0.1528), Te at (0.0000, 0.0000, 0.7225) and Br at (0.0000, 0.0000, 0.6143).

***

Total magnetization: 9.48, 2.14, 1.72, 0.92, 1.31, 0.00, 0.00, 3.98, 0.00, 0.01, 2.56, 1.80, 1.27 (μB/f.u.)
Formation energy without anion corrections: 0.732, 1.028, 0.638, 0.148, 0.686, -0.172, -0.143, 0.632, -0.104, 0.003, 0.745, 0.034, 0.142 (eV per atom)
Uncorrected energy: -6.01, -7.35, -3.70, -3.25, -3.08, -3.94, -3.91, -4.12, -3.50, -3.76, -2.81, -3.36, -3.62 (eV per atom)